Material: MgNbAsBr2
Method: DFT, meta-GGA SCAN
State: PBEsol geometry

Properties
As for the formation energy (no corrections): -0.06 eV per atom. The total magnetization is 0.0 Bohr magnetons per cell. Its final energy is -97.5 eV/cell.

Cell: 5.0841 5.1032 5.1032 Å, 90.00 90.00 90.00°
With the nearest neighbours (Å) after each atom.
Fractional coordinates of all 5 atoms:
Mg 0.5000 0.5000 0.5000  8 Br 3.60, 4 As 3.61
Nb 0.0000 0.0000 0.0000  2 As 2.54, 4 Br 2.55
As 0.5000 0.0000 0.0000  2 Nb 2.54
Br 0.0000 0.0000 0.5000  2 Nb 2.55
Br 0.0000 0.5000 0.0000  2 Nb 2.55